VASP calculation (PBEsol) on AlRe2Ag after structural relaxation.

Output
Its uncorrected energy is -8.002 eV per atom. The calculation puts the mass density at 14.31 g/cm3. Its symmetry is P4/mmm, No. 123. The formation energy comes out at 0.5151 eV/atom. As for the volume: 59 Å³/f.u. The value obtained for the density of states at the Fermi level is 2.6 states/eV per cell.

a b c (Å): 4.6234 4.6234 2.7545
angles (deg): 90.00 90.00 90.00
Element x y z (fractional)
1 Al 0.0000 0.0000 0.0000
2 Re 0.0000 0.5000 0.5000
3 Re 0.5000 0.0000 0.5000
4 Ag 0.5000 0.5000 0.0000